No. 1
Below is a relaxed AgPtBr2 crystal, with properties calculated at the PBE level.

**VASP energy**: -2.38 eV/atom
**Raw formation energy**: 0.6812 eV/atom
**ΔE to the lowest computed polymorph**: 14.450 kcal/mol of atoms
**Mass density**: 9.15 g/cm3
**Volume**: 21.004 A^3/atom

Lattice parameters (Å, degrees): 4.9162 4.9162 4.9162 60.00 60.00 60.00
With the nearest neighbours (Å) after each atom.
Fractional positions:
Ag1 0.0000 0.0000 0.0000  4 Br 3.01, 4 Pt 3.01
Pt1 0.7500 0.7500 0.7500  4 Br 3.01, 4 Ag 3.01
Br1 0.2500 0.2500 0.2500  4 Br 3.01, 4 Ag 3.01
Br2 0.5000 0.5000 0.5000  4 Br 3.01, 4 Pt 3.01

---

No. 2
Below is a relaxed AgPtBr2 crystal, with properties calculated at the PBE level.

**VASP energy**: -2.92 eV/atom
**Raw formation energy**: 0.1363 eV/atom
**ΔE to the lowest computed polymorph**: 1.884 kcal/mol of atoms
**Mass density**: 6.97 g/cm3
**Volume**: 27.575 A^3/atom

Lattice parameters (Å, degrees): 3.9534 3.9534 7.9914 90.00 90.00 117.98
With the nearest neighbours (Å) after each atom.
Fractional positions:
Ag1 0.0000 0.0000 0.0000  2 Br 2.57, 2 Pt 2.71
Pt1 0.5000 0.5000 0.7770  2 Br 2.43, 2 Ag 2.71
Br1 0.0000 0.0000 0.6117  2 Pt 2.43
Br2 0.5000 0.5000 0.1953  2 Ag 2.57

---

No. 3
Below is a relaxed AgPtBr crystal, with properties calculated at the PBE level.

**VASP energy**: -3.05 eV/atom
**Raw formation energy**: 0.4675 eV/atom
**ΔE to the lowest computed polymorph**: 4.072 kcal/mol of atoms
**Mass density**: 9.55 g/cm3
**Volume**: 22.185 A^3/atom

Lattice parameters (Å, degrees): 4.5488 4.5488 4.5488 60.00 60.00 60.00
With the nearest neighbours (Å) after each atom.
Fractional positions:
Ag1 0.0000 0.0000 0.0000  4 Pt 2.79
Pt1 0.2500 0.2500 0.2500  4 Br 2.79, 4 Ag 2.79
Br1 0.5000 0.5000 0.5000  4 Pt 2.79

---

No. 4
Below is a relaxed AgPtBr2 crystal, with properties calculated at the PBE level.

**VASP energy**: -2.84 eV/atom
**Raw formation energy**: 0.2164 eV/atom
**ΔE to the lowest computed polymorph**: 3.732 kcal/mol of atoms
**Mass density**: 6.95 g/cm3
**Volume**: 27.626 A^3/atom

Lattice parameters (Å, degrees): 8.3657 8.3657 8.3657 27.54 27.54 27.54
With the nearest neighbours (Å) after each atom.
Fractional positions:
Ag1 0.0000 0.0000 0.0000  6 Br 2.82
Pt1 0.5000 0.5000 0.5000  2 Br 2.39
Br1 0.4008 0.4008 0.4008  1 Pt 2.39
Br2 0.5992 0.5992 0.5992  1 Pt 2.39